Below is FeCoF3 after structural relaxation, with properties calculated at the PBE+U level.

Calculated values
* mass density: 4.255 g/cm³
* electronic total energy: -4.61 eV per atom
* offset from the most stable computed form: 0 meV/atom
* SG: Pm-3m (221)

a = 4.062 Å, b = 4.062 Å, c = 4.062 Å
α = 90.00°, β = 90.00°, γ = 90.00°
Element x y z (fractional)
Co: 0.500 0.500 0.500
Fe: 0.000 0.000 0.000
F: 0.000 0.500 0.000
F: 0.000 0.000 0.500
F: 0.500 0.000 0.000